1.
LaSmSN | PBE | relaxed

Unit cell a=3.796 b=3.796 c=6.945 alpha=74.14 beta=74.14 gamma=60.00
Fractional positions:
La 0.987 0.987 0.038
Sm 0.513 0.513 0.462
S 0.754 0.754 0.739
N 0.246 0.246 0.261

Summary:
calculated density	6.77	g/cm3
energy	-7.29	eV/atom
raw formation energy	-7.07	eV per formula unit
total magnetic moment	0.00	μB/cell
space group	R3m


2.
LaSnSN2 | PBE | relaxed

Unit cell a=4.288 b=4.288 c=5.973 alpha=90.00 beta=90.00 gamma=90.00
Fractional positions:
S 0.000 0.000 0.500
N 0.000 0.500 0.000
N 0.500 0.000 0.000
Sn 0.500 0.500 0.500
La 0.000 0.000 0.000

Summary:
calculated density	4.80	g/cm3
energy	-5.46	eV/atom
raw formation energy	2.40	eV per formula unit
total magnetic moment	0.23	μB/cell
space group	P4/mmm


Q: total magnetic moment of number 1 (LaSmSN)?
A: 0.00 μB/cell


Q: Look up the energy of the first one.
A: -7.29 eV/atom